Record 1
DFT (GGA-PBE) results for a relaxed Ho2ErPaBi4 crystal.

POSCAR file:
```
Ho2ErPaBi4
1.0
-1.365 0.112 4.236
5.702 -4.837 1.965
2.513 7.289 0.618
Bi Pa Ho Er
4 1 2 1
direct
0.500 0.747 0.748
0.000 0.251 0.750
0.000 0.749 0.250
0.500 0.253 0.252
0.000 0.000 0.000
0.500 0.000 0.500
0.000 0.500 0.500
0.500 0.500 0.000
```

Record 2
DFT (GGA-PBE) results for a relaxed Pm2HoErBi5 crystal.

POSCAR file:
```
Pm2HoErBi5
1.0
5.417 0.000 0.000
0.000 5.417 0.000
0.000 0.000 11.853
Pm Bi Ho Er
2 5 1 1
direct
0.500 0.500 0.275
0.500 0.500 0.725
0.000 0.000 0.755
0.500 0.500 0.000
0.000 0.500 0.500
0.000 0.000 0.245
0.500 0.000 0.500
0.000 0.000 0.500
0.000 0.000 0.000
```

Record 3
DFT (GGA-PBE) results for a relaxed Pm2HoEr3Bi6 crystal.

POSCAR file:
```
Pm2HoEr3Bi6
1.0
4.494 0.000 0.000
0.000 8.980 0.328
-2.247 -2.579 9.443
Bi Ho Er Pm
6 1 3 2
direct
0.997 0.249 0.994
0.003 0.751 0.006
0.334 0.923 0.667
0.665 0.589 0.329
0.335 0.411 0.671
0.666 0.077 0.333
0.500 0.000 0.000
0.500 0.500 0.000
0.168 0.834 0.336
0.832 0.166 0.664
0.166 0.333 0.332
0.834 0.667 0.668
```

Record 4
DFT (GGA-PBE) results for a relaxed PmHo2Er3Bi6 crystal.

POSCAR file:
```
PmHo2Er3Bi6
1.0
4.474 0.000 0.000
0.000 8.942 0.326
-2.237 -2.569 9.402
Er Bi Ho Pm
3 6 2 1
direct
0.835 0.168 0.669
0.165 0.832 0.331
0.500 0.500 0.000
0.334 0.417 0.667
0.669 0.084 0.339
0.666 0.583 0.333
0.000 0.744 0.999
0.331 0.916 0.661
0.000 0.256 0.001
0.167 0.333 0.334
0.833 0.667 0.666
0.500 0.000 0.000
```

Record 5
DFT (GGA-PBE) results for a relaxed Pm3HoEr2Bi6 crystal.

POSCAR file:
```
Pm3HoEr2Bi6
1.0
4.517 0.000 0.000
0.000 9.020 0.333
-2.258 -2.585 9.489
Ho Bi Pm Er
1 6 3 2
direct
0.500 0.000 0.000
0.002 0.246 0.004
0.665 0.089 0.330
0.998 0.754 0.996
0.331 0.422 0.663
0.669 0.578 0.337
0.335 0.911 0.670
0.166 0.833 0.333
0.500 0.500 0.000
0.834 0.167 0.667
0.167 0.333 0.333
0.833 0.667 0.667
```

Record 6
DFT (GGA-PBE) results for a relaxed Pm3Ho2ErBi6 crystal.

POSCAR file:
```
Pm3Ho2ErBi6
1.0
-1.228 3.082 3.069
-7.661 -4.543 1.498
6.867 -5.503 4.948
Ho Pm Er Bi
2 3 1 6
direct
0.167 0.333 0.333
0.833 0.667 0.667
0.500 0.500 0.000
0.167 0.834 0.333
0.833 0.166 0.667
0.500 0.000 0.000
0.665 0.088 0.329
0.668 0.579 0.337
0.002 0.245 0.004
0.335 0.912 0.671
0.998 0.755 0.996
0.332 0.421 0.663
```

Record 7
DFT (GGA-PBE) results for a relaxed PmHoEr2Bi4 crystal.

POSCAR file:
```
PmHoEr2Bi4
1.0
4.488 0.000 0.000
0.000 7.763 -0.152
0.000 2.733 7.270
Ho Er Bi Pm
1 2 4 1
direct
0.000 0.500 0.500
0.500 0.000 0.500
0.000 0.000 0.000
0.000 0.756 0.744
0.500 0.246 0.748
0.500 0.754 0.252
0.000 0.244 0.256
0.500 0.500 0.000
```

Record 8
DFT (GGA-PBE) results for a relaxed PrHo3Er2Bi6 crystal.

POSCAR file:
```
PrHo3Er2Bi6
1.0
4.489 0.000 0.000
0.000 8.971 0.324
-2.245 -2.580 9.431
Ho Bi Pr Er
3 6 1 2
direct
0.165 0.832 0.330
0.835 0.168 0.670
0.500 0.500 0.000
0.333 0.418 0.667
0.999 0.741 0.997
0.330 0.915 0.659
0.667 0.582 0.333
0.670 0.085 0.341
0.001 0.259 0.003
0.500 0.000 0.000
0.168 0.333 0.335
0.832 0.667 0.665
```

Record 9
DFT (GGA-PBE) results for a relaxed Pr2Ho3ErBi6 crystal.

POSCAR file:
```
Pr2Ho3ErBi6
1.0
4.523 0.000 0.000
0.000 9.033 0.328
-2.261 -2.596 9.498
Bi Ho Pr Er
6 3 2 1
direct
0.664 0.590 0.329
0.334 0.926 0.669
0.004 0.753 0.008
0.666 0.074 0.331
0.996 0.247 0.992
0.336 0.410 0.671
0.831 0.166 0.663
0.500 0.500 0.000
0.169 0.834 0.337
0.165 0.332 0.331
0.835 0.668 0.669
0.500 0.000 0.000
```

Record 10
DFT (GGA-PBE) results for a relaxed Pr2HoErBi5 crystal.

POSCAR file:
```
Pr2HoErBi5
1.0
-2.043 4.547 -2.153
-2.456 -2.930 -3.856
-9.619 -1.045 6.920
Bi Pr Er Ho
5 2 1 1
direct
0.500 0.500 0.000
0.500 0.000 0.500
0.000 0.000 0.245
0.000 0.500 0.500
0.000 0.000 0.755
0.500 0.500 0.277
0.500 0.500 0.723
0.000 0.000 0.000
0.000 0.000 0.500
```

Record 11
DFT (GGA-PBE) results for a relaxed Pr2HoEr3Bi6 crystal.

POSCAR file:
```
Pr2HoEr3Bi6
1.0
-0.444 -3.823 2.368
8.181 1.278 3.597
-5.747 6.516 5.132
Er Bi Pr Ho
3 6 2 1
direct
0.500 0.500 0.000
0.831 0.166 0.663
0.169 0.834 0.337
0.004 0.752 0.008
0.666 0.074 0.332
0.664 0.591 0.328
0.996 0.248 0.992
0.336 0.409 0.672
0.334 0.926 0.668
0.834 0.668 0.669
0.166 0.332 0.331
0.500 0.000 0.000
```

Record 12
DFT (GGA-PBE) results for a relaxed PrHo2Er3Bi6 crystal.

POSCAR file:
```
PrHo2Er3Bi6
1.0
-0.983 4.165 1.346
-4.833 -3.333 6.783
9.432 -1.213 3.171
Bi Pr Ho Er
6 1 2 3
direct
0.330 0.916 0.659
0.666 0.583 0.333
0.670 0.084 0.341
0.334 0.417 0.667
0.001 0.259 0.002
0.999 0.741 0.998
0.500 0.000 0.000
0.168 0.334 0.335
0.832 0.666 0.665
0.165 0.832 0.330
0.500 0.500 0.000
0.835 0.168 0.670
```

Number 1: DFT formation energy -627 meV per atom. Number 2: DFT formation energy -88 meV per atom. Number 3: DFT formation energy -856 meV per atom. Number 4: DFT formation energy -840 meV per atom. Number 5: DFT formation energy -879 meV per atom. Number 6: DFT formation energy -883 meV per atom. Number 7: DFT formation energy -847 meV per atom. Number 8: DFT formation energy -843 meV per atom. Number 9: DFT formation energy -867 meV per atom. Number 10: DFT formation energy -143 meV per atom. Number 11: DFT formation energy -859 meV per atom. Number 12: DFT formation energy -840 meV per atom.